No. 1
{
  "formula": "Re2IrRu",
  "functional": "PBE",
  "state": "relaxed",
  "lattice": [[-2.446, 1.101, -0.548], [-1.058, -0.509, 3.696], [1.957, 4.965, 1.244]],
  "species": ["Ru", "Re", "Re", "Ir"],
  "frac_coords": [[0.500, 0.500, 0.250], [0.000, 0.000, 0.010], [0.000, 0.000, 0.490], [0.500, 0.500, 0.750]],
  "dos_at_fermi_per_ev_cell": 2.42,
  "e_above_lowest_polymorph_mev_per_atom": 127
}

***

No. 2
{
  "formula": "Ta2SiIr",
  "functional": "PBE",
  "state": "relaxed",
  "lattice": [[3.344, 0.000, 0.000], [0.000, 3.344, 0.000], [0.000, 0.000, 5.795]],
  "species": ["Si", "Ta", "Ta", "Ir"],
  "frac_coords": [[0.500, 0.500, 0.760], [0.000, 0.000, 0.974], [0.500, 0.500, 0.264], [0.000, 0.000, 0.502]],
  "e_form_raw_mev_per_atom": -279,
  "dos_at_fermi_per_ev_cell": 3.44
}

***

No. 3
{
  "formula": "Cs3ErBi2O8",
  "functional": "PBE",
  "state": "relaxed",
  "lattice": [[6.459, 0.000, 0.000], [-3.229, 5.594, 0.000], [0.000, 0.000, 8.551]],
  "species": ["O", "O", "O", "O", "O", "O", "O", "O", "Cs", "Cs", "Cs", "Er", "Bi", "Bi"],
  "frac_coords": [[0.162, 0.838, 0.344], [0.838, 0.162, 0.656], [0.838, 0.676, 0.656], [0.667, 0.333, 0.975], [0.162, 0.324, 0.344], [0.333, 0.667, 0.025], [0.324, 0.162, 0.656], [0.676, 0.838, 0.344], [0.667, 0.333, 0.301], [0.000, 0.000, 0.000], [0.333, 0.667, 0.699], [0.000, 0.000, 0.500], [0.333, 0.667, 0.258], [0.667, 0.333, 0.742]],
  "e_form_raw_mev_per_atom": -1521
}

***

No. 4
{
  "formula": "DySc3Ni8",
  "functional": "PBE",
  "state": "relaxed",
  "lattice": [[4.945, 0.000, 0.000], [-2.472, 4.282, 0.000], [0.000, 0.000, 8.052]],
  "species": ["Ni", "Ni", "Ni", "Ni", "Ni", "Ni", "Ni", "Ni", "Sc", "Sc", "Sc", "Dy"],
  "frac_coords": [[0.502, 0.498, 0.755], [0.502, 0.003, 0.755], [0.166, 0.333, 0.247], [0.333, 0.667, 0.500], [0.997, 0.498, 0.755], [0.166, 0.834, 0.247], [0.333, 0.667, 0.999], [0.667, 0.834, 0.247], [0.000, 0.000, 0.945], [0.667, 0.333, 0.060], [0.667, 0.333, 0.427], [0.000, 0.000, 0.566]],
  "dos_at_fermi_per_ev_cell": 9.09,
  "e_above_lowest_polymorph_mev_per_atom": 17
}

***

No. 5
{
  "formula": "Ce6AsS4",
  "functional": "PBE",
  "state": "relaxed",
  "lattice": [[4.014, 0.000, 0.000], [-2.007, 6.713, 0.000], [0.000, 0.000, 19.769]],
  "species": ["Ce", "Ce", "Ce", "Ce", "Ce", "Ce", "Ce", "Ce", "Ce", "Ce", "Ce", "Ce", "S", "S", "S", "S", "S", "S", "S", "S", "As", "As"],
  "frac_coords": [[0.229, 0.458, 0.588], [0.953, 0.906, 0.825], [0.047, 0.094, 0.325], [0.771, 0.542, 0.412], [0.229, 0.458, 0.912], [0.771, 0.542, 0.088], [0.500, 0.000, 0.500], [0.500, 0.000, 0.000], [0.332, 0.665, 0.250], [0.047, 0.094, 0.175], [0.668, 0.335, 0.750], [0.953, 0.906, 0.675], [0.864, 0.728, 0.543], [0.588, 0.176, 0.625], [0.864, 0.728, 0.957], [0.412, 0.824, 0.375], [0.136, 0.272, 0.457], [0.136, 0.272, 0.043], [0.412, 0.824, 0.125], [0.588, 0.176, 0.875], [0.677, 0.353, 0.250], [0.323, 0.647, 0.750]],
  "e_form_raw_mev_per_atom": -1677,
  "dos_at_fermi_per_ev_cell": 55.42
}

***

No. 6
{
  "formula": "TlC3",
  "functional": "PBE",
  "state": "relaxed",
  "lattice": [[-2.233, 3.106, 1.493], [-3.079, -0.783, -2.602], [1.485, -2.925, 2.470]],
  "species": ["Tl", "C", "C", "C"],
  "frac_coords": [[0.000, 0.000, 0.000], [0.500, 0.500, 0.000], [0.750, 0.250, 0.500], [0.250, 0.750, 0.500]],
  "dos_at_fermi_per_ev_cell": 1.52,
  "e_above_lowest_polymorph_mev_per_atom": 2947
}

***

No. 7
{
  "formula": "NdHoAg",
  "functional": "PBE",
  "state": "relaxed",
  "lattice": [[-2.144, -4.295, 0.484], [3.836, -2.140, -1.996], [3.108, -0.784, 6.814]],
  "species": ["Ag", "Ag", "Nd", "Nd", "Ho", "Ho"],
  "frac_coords": [[0.500, 0.000, 0.737], [0.000, 0.500, 0.263], [0.000, 0.500, 0.873], [0.500, 0.000, 0.127], [0.000, 0.000, 0.500], [0.500, 0.500, 0.500]],
  "dos_at_fermi_per_ev_cell": 8.37,
  "e_above_lowest_polymorph_mev_per_atom": 38
}

***

No. 8
{
  "formula": "In2ReSi",
  "functional": "PBE",
  "state": "relaxed",
  "lattice": [[-0.951, 4.520, 4.843], [0.489, -0.625, 6.645], [2.238, -0.050, -6.307]],
  "species": ["Si", "In", "In", "Re"],
  "frac_coords": [[0.686, 0.186, 0.500], [0.998, 0.998, 0.000], [0.301, 0.801, 0.500], [0.515, 0.515, 0.000]],
  "e_form_raw_mev_per_atom": 407,
  "dos_at_fermi_per_ev_cell": 2.78
}

***

No. 9
{
  "formula": "In2AgPt",
  "functional": "PBE",
  "state": "relaxed",
  "lattice": [[-0.035, 1.042, -4.346], [3.701, -0.516, -2.451], [-0.180, -4.553, -3.389]],
  "species": ["Ag", "In", "In", "Pt"],
  "frac_coords": [[0.489, 0.489, 0.534], [0.269, 0.269, 0.194], [0.067, 0.067, 0.798], [0.675, 0.675, 0.974]],
  "dos_at_fermi_per_ev_cell": 1.14,
  "e_above_lowest_polymorph_mev_per_atom": 5
}

***

No. 10
{
  "formula": "Gd2TlGa",
  "functional": "PBE",
  "state": "relaxed",
  "lattice": [[5.279, 0.000, 0.000], [2.640, 4.572, 0.000], [2.640, 1.524, 4.311]],
  "species": ["Gd", "Gd", "Tl", "Ga"],
  "frac_coords": [[0.750, 0.750, 0.750], [0.250, 0.250, 0.250], [0.500, 0.500, 0.500], [0.000, 0.000, 0.000]],
  "dos_at_fermi_per_ev_cell": 1.79,
  "e_above_lowest_polymorph_mev_per_atom": 22
}

***

No. 11
{
  "formula": "TiAsAu2C",
  "functional": "PBE",
  "state": "relaxed",
  "lattice": [[-1.760, 1.308, 3.523], [-2.900, -4.089, 0.070], [2.892, -2.013, 2.192]],
  "species": ["Ti", "C", "Au", "Au", "As"],
  "frac_coords": [[0.500, 0.500, 0.500], [0.000, 0.000, 0.000], [0.500, 0.000, 0.000], [0.000, 0.000, 0.500], [0.000, 0.500, 0.000]],
  "dos_at_fermi_per_ev_cell": 4.60
}

***

No. 12
{
  "formula": "Y2GeBr",
  "functional": "PBE",
  "state": "relaxed",
  "lattice": [[4.249, -0.002, 0.007], [0.003, 7.330, 0.510], [0.015, -0.522, 7.694]],
  "species": ["Ge", "Ge", "Y", "Y", "Y", "Y", "Br", "Br"],
  "frac_coords": [[0.533, 0.683, 0.739], [0.033, 0.183, 0.739], [0.034, 0.517, 0.559], [0.532, 0.349, 0.932], [0.032, 0.849, 0.932], [0.534, 0.017, 0.559], [0.530, 0.015, 0.181], [0.030, 0.515, 0.181]],
  "e_form_raw_mev_per_atom": -1062,
  "dos_at_fermi_per_ev_cell": 5.03,
  "e_above_lowest_polymorph_mev_per_atom": 35
}

***

No. 13
{
  "formula": "Tl3In9Ag2",
  "functional": "PBE",
  "state": "relaxed",
  "lattice": [[4.561, 0.000, 1.225], [1.859, 8.820, 2.184], [-0.043, -0.415, 9.265]],
  "species": ["Tl", "Tl", "Tl", "In", "In", "In", "In", "In", "In", "In", "In", "In", "Ag", "Ag"],
  "frac_coords": [[0.296, 0.704, 0.704], [0.704, 0.296, 0.296], [0.000, 0.000, 0.000], [0.858, 0.848, 0.435], [0.638, 0.732, 0.993], [0.858, 0.435, 0.848], [0.000, 0.500, 0.500], [0.362, 0.007, 0.268], [0.638, 0.993, 0.732], [0.362, 0.268, 0.007], [0.142, 0.565, 0.152], [0.142, 0.152, 0.565], [0.500, 0.330, 0.670], [0.500, 0.670, 0.330]],
  "dos_at_fermi_per_ev_cell": 5.62
}

***

No. 14
{
  "formula": "TaBe8Re3",
  "functional": "PBE",
  "state": "relaxed",
  "lattice": [[-1.367, 4.198, -0.144], [-0.359, -2.564, -3.579], [-6.631, -2.085, 2.159]],
  "species": ["Be", "Be", "Be", "Be", "Be", "Be", "Be", "Be", "Ta", "Re", "Re", "Re"],
  "frac_coords": [[0.994, 0.497, 0.755], [0.333, 0.667, 0.496], [0.164, 0.328, 0.246], [0.672, 0.836, 0.246], [0.164, 0.836, 0.246], [0.333, 0.667, 0.002], [0.503, 0.497, 0.755], [0.503, 0.006, 0.755], [0.000, 0.000, 0.562], [0.667, 0.333, 0.061], [0.000, 0.000, 0.940], [0.667, 0.333, 0.435]],
  "dos_at_fermi_per_ev_cell": 2.13
}

***

No. 15
{
  "formula": "KBi2F9",
  "functional": "PBE",
  "state": "relaxed",
  "lattice": [[-0.566, -0.447, 3.466], [7.486, -1.518, 1.027], [-2.568, 7.248, 0.514]],
  "species": ["Bi", "Bi", "F", "F", "F", "F", "F", "F", "F", "F", "F", "K"],
  "frac_coords": [[0.000, 0.333, 0.667], [0.000, 0.667, 0.333], [0.000, 0.500, 0.000], [0.500, 0.219, 0.438], [0.500, 0.562, 0.781], [0.500, 0.781, 0.562], [0.500, 0.438, 0.219], [0.000, 0.500, 0.500], [0.500, 0.781, 0.219], [0.000, 0.000, 0.500], [0.500, 0.219, 0.781], [0.000, 0.000, 0.000]],
  "e_form_raw_mev_per_atom": -2066,
  "dos_at_fermi_per_ev_cell": 3.77
}

***

No. 16
{
  "formula": "SrBrCl2",
  "functional": "PBE",
  "state": "relaxed",
  "lattice": [[4.666, 0.000, 0.000], [0.000, 4.666, 0.000], [0.000, 0.000, 5.503]],
  "species": ["Br", "Cl", "Cl", "Sr"],
  "frac_coords": [[0.500, 0.500, 0.745], [0.500, 0.500, 0.251], [0.000, 0.000, 0.003], [0.000, 0.000, 0.501]],
  "e_form_raw_mev_per_atom": -1475,
  "dos_at_fermi_per_ev_cell": 1.73,
  "e_above_lowest_polymorph_mev_per_atom": 160
}

***

No. 17
{
  "formula": "BaFe2IrSe8",
  "functional": "PBE",
  "state": "relaxed",
  "lattice": [[6.103, 0.000, 0.000], [-3.052, 5.286, 0.000], [0.000, 0.000, 8.769]],
  "species": ["Se", "Se", "Se", "Se", "Se", "Se", "Se", "Se", "Fe", "Fe", "Ba", "Ir"],
  "frac_coords": [[0.649, 0.994, 0.348], [0.655, 0.649, 0.652], [0.345, 0.351, 0.348], [0.351, 0.006, 0.652], [0.333, 0.667, 0.003], [0.994, 0.345, 0.652], [0.006, 0.655, 0.348], [0.667, 0.333, 0.997], [0.333, 0.667, 0.754], [0.667, 0.333, 0.246], [0.000, 0.000, 0.000], [0.000, 0.000, 0.500]],
  "e_form_raw_mev_per_atom": -386,
  "dos_at_fermi_per_ev_cell": 5.37
}

***

No. 18
{
  "formula": "Cd2CuAs",
  "functional": "PBE",
  "state": "relaxed",
  "lattice": [[6.543, 0.049, 0.004], [4.222, 4.998, -0.004], [-4.883, -3.588, 2.467]],
  "species": ["Cd", "Cd", "As", "Cu"],
  "frac_coords": [[0.693, 0.193, 0.500], [0.007, 0.007, 0.000], [0.312, 0.812, 0.500], [0.487, 0.487, 0.000]],
  "dos_at_fermi_per_ev_cell": 1.21
}

***

No. 19
{
  "formula": "K3Pu2MgSe6",
  "functional": "PBE",
  "state": "relaxed",
  "lattice": [[7.269, -0.001, 0.001], [-3.633, 6.296, 0.001], [-1.211, -2.098, 7.633]],
  "species": ["Mg", "Pu", "Pu", "Se", "Se", "Se", "Se", "Se", "Se", "K", "K", "K"],
  "frac_coords": [[0.000, 0.000, 0.000], [0.667, 0.333, 0.000], [0.333, 0.667, 0.000], [0.933, 0.602, 0.799], [0.736, 0.736, 0.201], [0.398, 0.067, 0.201], [0.602, 0.933, 0.799], [0.264, 0.264, 0.799], [0.067, 0.398, 0.201], [0.500, 0.500, 0.500], [0.834, 0.166, 0.500], [0.166, 0.834, 0.500]],
  "e_form_raw_mev_per_atom": -1357,
  "dos_at_fermi_per_ev_cell": 20.32
}

***

No. 20
{
  "formula": "Sr2SCl",
  "functional": "PBE",
  "state": "relaxed",
  "lattice": [[4.245, 0.000, 0.000], [2.123, 3.677, 0.000], [2.123, 1.226, 7.602]],
  "species": ["Sr", "Sr", "Cl", "S"],
  "frac_coords": [[0.074, 0.074, 0.779], [0.261, 0.261, 0.216], [0.493, 0.493, 0.521], [0.672, 0.672, 0.983]],
  "e_form_raw_mev_per_atom": -1860,
  "dos_at_fermi_per_ev_cell": 1.20,
  "e_above_lowest_polymorph_mev_per_atom": 26
}

***

No. 21
{
  "formula": "ZnGePd4",
  "functional": "PBE",
  "state": "relaxed",
  "lattice": [[-2.159, -3.753, 3.941], [1.301, -4.484, -3.531], [5.722, 3.687, 2.288]],
  "species": ["Ge", "Ge", "Pd", "Pd", "Pd", "Pd", "Pd", "Pd", "Pd", "Pd", "Zn", "Zn"],
  "frac_coords": [[0.625, 0.375, 0.750], [0.375, 0.625, 0.250], [0.746, 0.500, 0.500], [0.254, 0.500, 0.500], [0.500, 0.746, 0.000], [0.745, 0.999, 0.499], [0.500, 0.254, 0.000], [0.001, 0.255, 0.001], [0.255, 0.001, 0.501], [0.999, 0.745, 0.999], [0.125, 0.875, 0.750], [0.875, 0.125, 0.250]],
  "dos_at_fermi_per_ev_cell": 2.73,
  "e_above_lowest_polymorph_mev_per_atom": 74
}

***

No. 22
{
  "formula": "La2BeCu",
  "functional": "PBE",
  "state": "relaxed",
  "lattice": [[6.015, -0.006, 0.075], [4.951, 3.415, 0.075], [1.866, 0.580, 4.393]],
  "species": ["La", "La", "Cu", "Be"],
  "frac_coords": [[0.776, 0.776, 0.724], [0.974, 0.974, 0.026], [0.192, 0.192, 0.308], [0.558, 0.558, 0.442]],
  "dos_at_fermi_per_ev_cell": 3.74,
  "e_above_lowest_polymorph_mev_per_atom": 0
}

***

No. 23
{
  "formula": "KInPb",
  "functional": "PBE",
  "state": "relaxed",
  "lattice": [[-2.286, 4.521, 0.830], [-2.635, -0.506, -4.506], [-6.707, -1.223, 4.059]],
  "species": ["K", "K", "In", "In", "Pb", "Pb"],
  "frac_coords": [[0.251, 0.750, 0.498], [0.749, 0.250, 0.502], [0.929, 0.750, 0.143], [0.071, 0.250, 0.857], [0.565, 0.750, 0.870], [0.435, 0.250, 0.130]],
  "dos_at_fermi_per_ev_cell": 2.36
}

***

No. 24
{
  "formula": "Pu2UAgTe5",
  "functional": "PBE",
  "state": "relaxed",
  "lattice": [[4.337, 0.000, 0.000], [-2.169, 9.352, 0.000], [0.000, 0.000, 13.345]],
  "species": ["Te", "Te", "Te", "Te", "Te", "Te", "Te", "Te", "Te", "Te", "Pu", "Pu", "Pu", "Pu", "Ag", "Ag", "U", "U"],
  "frac_coords": [[0.045, 0.089, 0.074], [0.955, 0.911, 0.574], [0.292, 0.584, 0.672], [0.304, 0.607, 0.344], [0.498, 0.996, 0.770], [0.696, 0.393, 0.844], [0.638, 0.276, 0.503], [0.362, 0.724, 0.003], [0.708, 0.416, 0.172], [0.502, 0.004, 0.270], [0.889, 0.777, 0.186], [0.878, 0.757, 0.811], [0.122, 0.243, 0.311], [0.111, 0.223, 0.686], [0.434, 0.869, 0.452], [0.566, 0.131, 0.952], [0.802, 0.604, 0.512], [0.198, 0.396, 0.012]],
  "e_form_raw_mev_per_atom": -705,
  "dos_at_fermi_per_ev_cell": 57.76
}

***

Calculated DFT total energy in order - -10.842; -9.777; -5.417; -6.303; -6.837; -3.782; -4.190; -5.430; -3.794; -8.846; -4.925; -5.867; -2.643; -6.992; -4.208; -3.237; -5.018; -2.574; -5.895; -4.195; -4.837; -4.398; -2.615; -7.206 eV/atom